Record 1
The following is a PBE calculation of crystalline Y2PbS at its relaxed geometry, from Alexandria.

Calculated values
Total magnetic moment in μB/atom: 0.00
D(E_F) in states/eV/f.u.: 2.0
Energy relative to the elements, uncorrected in meV per atom: -1237

Geometry as POSCAR:
```
Y2PbS
1.0
1.940 1.120 7.839
-1.940 1.120 7.839
0.000 -2.241 7.839
Y Pb S
2 1 1
Direct
0.233 0.233 0.233 Y
0.767 0.767 0.767 Y
0.000 0.000 0.000 Pb
0.500 0.500 0.500 S
```

***

Record 2
The following is a PBE calculation of crystalline Pm12Hg5Rh3 at its relaxed geometry, from Alexandria.

Calculated values
Total magnetic moment in μB/atom: 0.00
D(E_F) in states/eV/f.u.: 20.6
Formation energy in meV/atom: -36.4

Geometry as POSCAR:
```
Pm12Hg5Rh3
1.0
-8.725 8.725 8.725
8.725 -8.725 8.725
8.725 8.725 -8.725
Pm Hg Rh
48 20 12
Direct
0.061 0.630 0.394 Pm
0.061 0.931 0.667 Pm
0.069 0.237 0.130 Pm
0.069 0.333 0.939 Pm
0.106 0.737 0.667 Pm
0.106 0.870 0.439 Pm
0.130 0.069 0.237 Pm
0.130 0.561 0.894 Pm
0.167 0.237 0.606 Pm
0.167 0.431 0.561 Pm
0.237 0.130 0.069 Pm
0.237 0.606 0.167 Pm
0.263 0.333 0.894 Pm
0.263 0.431 0.370 Pm
0.333 0.894 0.263 Pm
0.333 0.939 0.069 Pm
0.370 0.263 0.431 Pm
0.370 0.606 0.939 Pm
0.394 0.061 0.630 Pm
0.394 0.833 0.763 Pm
0.431 0.370 0.263 Pm
0.431 0.561 0.167 Pm
0.439 0.106 0.870 Pm
0.439 0.833 0.569 Pm
0.561 0.167 0.431 Pm
0.561 0.894 0.130 Pm
0.569 0.439 0.833 Pm
0.569 0.630 0.737 Pm
0.606 0.167 0.237 Pm
0.606 0.939 0.370 Pm
0.630 0.394 0.061 Pm
0.630 0.737 0.569 Pm
0.667 0.061 0.931 Pm
0.667 0.106 0.737 Pm
0.737 0.569 0.630 Pm
0.737 0.667 0.106 Pm
0.763 0.394 0.833 Pm
0.763 0.870 0.931 Pm
0.833 0.569 0.439 Pm
0.833 0.763 0.394 Pm
0.870 0.439 0.106 Pm
0.870 0.931 0.763 Pm
0.894 0.130 0.561 Pm
0.894 0.263 0.333 Pm
0.931 0.667 0.061 Pm
0.931 0.763 0.870 Pm
0.939 0.069 0.333 Pm
0.939 0.370 0.606 Pm
0.000 0.000 0.000 Hg
0.000 0.000 0.500 Hg
0.000 0.500 0.000 Hg
0.000 0.500 0.500 Hg
0.125 0.750 0.875 Hg
0.125 0.875 0.250 Hg
0.250 0.125 0.875 Hg
0.250 0.625 0.375 Hg
0.375 0.250 0.625 Hg
0.375 0.625 0.750 Hg
0.500 0.000 0.000 Hg
0.500 0.000 0.500 Hg
0.500 0.500 0.000 Hg
0.500 0.500 0.500 Hg
0.625 0.375 0.250 Hg
0.625 0.750 0.375 Hg
0.750 0.375 0.625 Hg
0.750 0.875 0.125 Hg
0.875 0.125 0.750 Hg
0.875 0.250 0.125 Hg
0.125 0.250 0.375 Rh
0.125 0.375 0.750 Rh
0.250 0.375 0.125 Rh
0.250 0.875 0.625 Rh
0.375 0.125 0.250 Rh
0.375 0.750 0.125 Rh
0.625 0.250 0.875 Rh
0.625 0.875 0.750 Rh
0.750 0.125 0.375 Rh
0.750 0.625 0.875 Rh
0.875 0.625 0.250 Rh
0.875 0.750 0.625 Rh
```

***

Question: D(E_F) of number 2 (Pm12Hg5Rh3)?
Answer: 20.6 states/eV/f.u.